No. 1
Below is a relaxed structure of LiHgSb4, with properties calculated at the GGA-PBE level.

Structure (POSCAR):
```
LiHgSb4
1.0
0.000 4.463 4.463
4.463 0.000 4.463
4.463 4.463 0.000
Li Hg Sb
1 1 4
Cartesian
0.000 0.000 0.000 Li
2.232 2.232 2.232 Hg
5.547 3.380 3.380 Sb
3.380 5.547 3.380 Sb
3.380 3.380 5.547 Sb
5.547 5.547 5.547 Sb
```

Results
V	178	Å³/f.u.
energy relative to the elements, uncorrected	89	meV per atom

---

No. 2
Below is a relaxed structure of Li3Hg2Sb, with properties calculated at the GGA-PBE level.

Structure (POSCAR):
```
Li3Hg2Sb
1.0
2.340 -7.040 0.000
2.340 7.040 0.000
0.000 0.000 7.069
Li Hg Sb
6 4 2
Cartesian
0.000 0.000 1.706 Li
0.000 0.000 5.362 Li
2.340 2.359 1.735 Li
2.340 2.359 5.333 Li
2.340 -2.359 1.735 Li
2.340 -2.359 5.333 Li
2.340 4.727 0.000 Hg
2.340 0.000 0.000 Hg
2.340 0.000 3.534 Hg
2.340 -4.727 0.000 Hg
2.340 4.773 3.534 Sb
2.340 -4.773 3.534 Sb
```

Results
V	116	Å³/f.u.
E above lowest polymorph	0.0	meV/atom
energy relative to the elements, uncorrected	-392	meV per atom

---

No. 3
Below is a relaxed structure of Li3Hg3Sb, with properties calculated at the GGA-PBE level.

Structure (POSCAR):
```
Li3Hg3Sb
1.0
7.183 0.000 0.000
0.000 7.183 0.000
0.000 0.000 7.183
Li Hg Sb
6 6 2
Cartesian
0.000 1.796 3.591 Li
0.000 5.387 3.591 Li
1.796 3.591 0.000 Li
3.591 0.000 1.796 Li
3.591 0.000 5.387 Li
5.387 3.591 0.000 Li
0.000 3.591 1.796 Hg
0.000 3.591 5.387 Hg
1.796 0.000 3.591 Hg
3.591 1.796 0.000 Hg
3.591 5.387 0.000 Hg
5.387 0.000 3.591 Hg
0.000 0.000 0.000 Sb
3.591 3.591 3.591 Sb
```

Results
V	185	Å³/f.u.
E above lowest polymorph	399.1	meV/atom
energy relative to the elements, uncorrected	75	meV per atom

---

Question: What is the V in the first record?
Answer: 178 Å³/f.u.

---

Question: What is the energy relative to the elements, uncorrected in the third record?
Answer: 75 meV per atom

---

Question: Which formula does entry 1 have?
Answer: LiHgSb4

---

Question: Which value of energy relative to the elements, uncorrected does entry 2 give?
Answer: -392 meV per atom